(1)
Entry from Alexandria via LeMat-Bulk: a relaxed Pm2GaSi3Pd4 crystal (PBE).

* raw formation energy: -0.896 eV/atom
* total magnetization: 0.00 Bohr magnetons per cell

abc: 4.257 4.257 10.036
angles: 90.00 90.00 90.00
Space group P-4m2 (No. 115)
Inequivalent atoms, fractional coordinates:
1 Pm 0.000 0.500 0.248 (multiplicity 2)
2 Ga 0.500 0.500 0.000 (multiplicity 1)
3 Si 0.000 0.000 0.000 (multiplicity 1)
4 Si 0.000 0.500 0.627 (multiplicity 2)
5 Pd 0.000 0.000 0.500 (multiplicity 1)
6 Pd 0.000 0.500 0.867 (multiplicity 2)
7 Pd 0.500 0.500 0.500 (multiplicity 1)

=====

(2)
Entry from Alexandria via LeMat-Bulk: a relaxed PrScGa crystal (PBE).

* total magnetization: 1.76 Bohr magnetons per cell
* uncorrected energy: -5.1529 eV/atom

abc: 4.518 4.518 7.623
angles: 90.00 90.00 90.00
Space group P4/nmm (No. 129, origin choice 2)
Inequivalent atoms, fractional coordinates:
1 Pr 0.250 0.250 0.147 (multiplicity 2)
2 Sc 0.250 0.750 0.500 (multiplicity 2)
3 Ga 0.250 0.250 0.734 (multiplicity 2)

=====

(3)
Entry from Alexandria via LeMat-Bulk: a relaxed Na2Li2Ag crystal (PBE).

* total magnetization: 0.00 Bohr magnetons per cell
* uncorrected energy: -1.6964 eV/atom

abc: 8.135 8.135 3.591
angles: 90.00 90.00 90.00
Space group P4/mbm (No. 127)
Inequivalent atoms, fractional coordinates:
1 Na 0.141 0.359 0.000 (multiplicity 4)
2 Li 0.167 0.667 0.500 (multiplicity 4)
3 Ag 0.000 0.000 0.000 (multiplicity 2)

=====

(4)
Entry from Alexandria via LeMat-Bulk: a relaxed Pu2MgIn9 crystal (PBE).

* total magnetization: 11.42 Bohr magnetons per cell
* uncorrected energy: -4.7249 eV/atom

abc: 4.655 4.655 13.878
angles: 90.00 90.00 90.00
Space group P4/mmm (No. 123)
Inequivalent atoms, fractional coordinates:
1 Pu 0.000 0.000 0.170 (multiplicity 2)
2 Mg 0.000 0.000 0.500 (multiplicity 1)
3 In 0.000 0.500 0.000 (multiplicity 2)
4 In 0.000 0.500 0.338 (multiplicity 4)
5 In 0.500 0.500 0.163 (multiplicity 2)
6 In 0.500 0.500 0.500 (multiplicity 1)

=====

(5)
Entry from Alexandria via LeMat-Bulk: a relaxed La2Pr6HoTm3 crystal (PBE).

* total magnetization: 0.00 Bohr magnetons per cell
* uncorrected energy: -4.6897 eV/atom

abc: 6.336 10.981 12.004
angles: 90.00 100.14 90.00
Space group C2/m (No. 12)
Inequivalent atoms, fractional coordinates:
1 La 0.000 0.167 0.000 (multiplicity 4)
2 Pr 0.247 0.500 0.744 (multiplicity 4)
3 Pr 0.249 0.166 0.744 (multiplicity 8)
4 Ho 0.000 0.500 0.000 (multiplicity 2)
5 Tm 0.000 0.000 0.500 (multiplicity 2)
6 Tm 0.000 0.334 0.500 (multiplicity 4)

=====

(6)
Entry from Alexandria via LeMat-Bulk: a relaxed AlTcNiMo crystal (PBE).

* total magnetization: 1.55 Bohr magnetons per cell
* uncorrected energy: -7.8745 eV/atom

abc: 6.067 6.067 6.067
angles: 90.00 90.00 90.00
Space group F-43m (No. 216)
Inequivalent atoms, fractional coordinates:
1 Al 0.000 0.000 0.000 (multiplicity 4)
2 Tc 0.250 0.250 0.750 (multiplicity 4)
3 Ni 0.250 0.250 0.250 (multiplicity 4)
4 Mo 0.000 0.000 0.500 (multiplicity 4)

=====

(7)
Entry from Alexandria via LeMat-Bulk: a relaxed LaPm4Nd5 crystal (PBE).

* total magnetization: 0.00 Bohr magnetons per cell
* uncorrected energy: -4.6428 eV/atom

abc: 28.976 3.530 6.990
angles: 90.00 97.34 90.00
Space group C2/m (No. 12)
Inequivalent atoms, fractional coordinates:
1 La 0.000 0.000 0.000 (multiplicity 2)
2 Pm 0.095 0.500 0.304 (multiplicity 4)
3 Pm 0.108 0.000 0.806 (multiplicity 4)
4 Nd 0.000 0.000 0.500 (multiplicity 2)
5 Nd 0.201 0.500 0.600 (multiplicity 4)
6 Nd 0.206 0.500 0.102 (multiplicity 4)

=====

(8)
Entry from Alexandria via LeMat-Bulk: a relaxed BeIn crystal (PBE).

* total magnetization: 0.00 Bohr magnetons per cell
* uncorrected energy: -2.5792 eV/atom

abc: 5.059 5.059 5.874
angles: 90.00 90.00 90.00
Space group P4_2/mnm (No. 136)
Inequivalent atoms, fractional coordinates:
1 Be 0.168 0.168 0.000 (multiplicity 4)
2 In 0.196 0.196 0.500 (multiplicity 4)